Computed, not measured: a relaxed structure of KPt2Pb2 at the PBE-GGA level of DFT.

```
KPt2Pb2
1.0
-0.9776 -4.2242 -1.3944
1.9058 -1.9386 4.5366
-5.3441 3.1742 1.5690
Pt Pb K
2 2 1
direct
0.7489 0.1506 0.4978
0.2511 0.8494 0.5022
0.3514 0.4240 0.7028
0.6486 0.5760 0.2972
0.0000 0.0000 0.0000
```

- energy of formation (meV per atom) = -266.2
- ΔE to the lowest computed polymorph (meV/atom) = 0
- total energy (eV per cell) = -21.9

Computed, not measured: a relaxed structure of K3Pt3Pb5 at the PBE-GGA level of DFT.

```
K3Pt3Pb5
1.0
6.3950 0.0000 0.0000
0.0000 7.4872 -4.3227
0.0000 0.0000 8.6455
Pt Pb K
3 5 3
direct
0.5000 0.6305 0.0000
0.5000 0.0000 0.6305
0.5000 0.3695 0.3695
0.5000 0.0000 0.2459
0.5000 0.6667 0.3333
0.5000 0.7541 0.7541
0.5000 0.2459 0.0000
0.5000 0.3333 0.6667
0.0000 0.3453 0.3453
0.0000 0.0000 0.6547
0.0000 0.6547 0.0000
```

- energy of formation (meV per atom) = -119.8
- total energy (eV per cell) = -41.3

Computed, not measured: a relaxed structure of KPt6Pb12 at the PBE-GGA level of DFT.

```
KPt6Pb12
1.0
8.5064 -0.1591 -0.2240
-2.2627 8.2015 -0.2240
-2.2627 -2.9146 7.6694
Pb Pt K
12 6 1
direct
0.5000 0.8787 0.1213
0.8372 0.5706 0.5706
0.4294 0.4294 0.1628
0.1213 0.8787 0.5000
0.5706 0.8372 0.5706
0.1628 0.4294 0.4294
0.5706 0.5706 0.8372
0.8787 0.1213 0.5000
0.8787 0.5000 0.1213
0.1213 0.5000 0.8787
0.4294 0.1628 0.4294
0.5000 0.1213 0.8787
0.7359 0.2741 0.7359
0.2641 0.2641 0.7259
0.7259 0.2641 0.2641
0.2641 0.7259 0.2641
0.2741 0.7359 0.7359
0.7359 0.7359 0.2741
0.0000 0.0000 0.0000
```

- energy of formation (meV per atom) = -140.3
- total energy (eV per cell) = -84.5

Computed, not measured: a relaxed structure of KRbPtPb2 at the PBE-GGA level of DFT.

```
KRbPtPb2
1.0
5.4943 0.0000 0.0000
0.0000 5.4943 0.0000
0.0000 0.0000 6.1807
K Pb Pt Rb
1 2 1 1
direct
0.0000 0.0000 0.5000
0.0000 0.5000 0.0000
0.5000 0.0000 0.0000
0.0000 0.0000 0.0000
0.5000 0.5000 0.5000
```

- energy of formation (meV per atom) = -60.6
- total energy (eV per cell) = -15.8

Computed, not measured: a relaxed structure of K2PtRhPb6 at the PBE-GGA level of DFT.

```
K2PtRhPb6
1.0
-5.0242 -1.1601 5.5251
-6.3680 -3.8131 -1.4227
2.0276 -12.5118 4.3854
K Pb Rh Pt
4 12 2 2
direct
0.8907 0.8907 0.3278
0.1093 0.1093 0.6722
0.2807 0.2807 0.1579
0.7193 0.7193 0.8421
0.7783 0.3452 0.0981
0.6471 0.0998 0.6060
0.2217 0.6548 0.9019
0.3529 0.9002 0.3940
0.6471 0.6471 0.6060
0.3529 0.3529 0.3940
0.3452 0.7783 0.0981
0.6548 0.2217 0.9019
0.2217 0.2217 0.9019
0.9002 0.3529 0.3940
0.7783 0.7783 0.0981
0.0998 0.6471 0.6060
0.5000 0.5000 0.5000
0.0000 0.0000 0.0000
0.4248 0.4248 0.7255
0.5752 0.5752 0.2745
```

- energy of formation (meV per atom) = -84.4
- total energy (eV per cell) = -77.4

Computed, not measured: a relaxed structure of K2Sb2PtPb at the PBE-GGA level of DFT.

```
K2Sb2PtPb
1.0
7.3800 0.0000 0.0000
0.0000 7.3038 0.0000
-3.6900 -3.6519 7.6237
Pt Pb Sb K
2 2 4 4
direct
0.7500 0.5000 0.0000
0.2500 0.5000 0.0000
0.7500 0.0000 0.0000
0.2500 0.0000 0.0000
0.9109 0.2161 0.8218
0.4109 0.6057 0.8218
0.5891 0.3943 0.1782
0.0891 0.7839 0.1782
0.8308 0.5844 0.6616
0.3308 0.0772 0.6616
0.1692 0.4156 0.3384
0.6692 0.9228 0.3384
```

- total energy (eV per cell) = -44.3
- formation energy from raw total energies (eV per formula unit) = -1.95

Computed, not measured: a relaxed structure of KSbPtPb at the PBE-GGA level of DFT.

```
KSbPtPb
1.0
-2.3809 2.8996 1.4051
-3.9609 -0.2194 -0.5593
-0.8300 -4.3611 7.5921
Pb Pt K Sb
1 1 1 1
direct
0.8681 0.8681 0.3787
0.5346 0.5346 0.5876
0.2016 0.2016 0.0460
0.8681 0.8681 0.7367
```

- total energy (eV per cell) = -16.0
- formation energy from raw total energies (eV per formula unit) = -1.02

Computed, not measured: a relaxed structure of K2Sn3Pt4Pb at the PBE-GGA level of DFT.

```
K2Sn3Pt4Pb
1.0
-3.8689 -1.8785 2.2265
2.8020 -3.4123 1.9899
1.7362 6.2694 8.3063
Pt K Sn Pb
4 2 3 1
direct
0.5000 0.5000 0.0000
0.0000 0.0000 0.0000
0.0000 0.5000 0.3688
0.5000 0.0000 0.6312
0.0000 0.5000 0.7596
0.5000 0.0000 0.2404
0.5000 0.0000 0.8851
0.0000 0.0000 0.5000
0.0000 0.5000 0.1149
0.5000 0.5000 0.5000
```

- energy of formation (meV per atom) = -424.2
- total energy (eV per cell) = -46.3

Computed, not measured: a relaxed structure of KSnPt2Pb at the PBE-GGA level of DFT.

```
KSnPt2Pb
1.0
-2.5107 1.5390 3.5717
-1.5462 -7.2652 2.0436
6.4155 0.5618 4.2676
Sn K Pt Pb
2 2 4 2
direct
0.2500 0.3850 0.1165
0.7500 0.6150 0.8835
0.2500 0.8661 0.1413
0.7500 0.1339 0.8587
0.7500 0.5388 0.2214
0.2500 0.4612 0.7786
0.2500 0.5849 0.4437
0.7500 0.4151 0.5563
0.2500 0.2053 0.4823
0.7500 0.7947 0.5177
```

- energy of formation (meV per atom) = -300.5
- ΔE to the lowest computed polymorph (meV/atom) = 0
- total energy (eV per cell) = -44.8

Computed, not measured: a relaxed structure of KSnPt2Pb at the PBE-GGA level of DFT.

```
KSnPt2Pb
1.0
5.1949 0.0000 0.0000
0.0000 5.7603 0.0000
0.0000 0.0000 5.1949
Sn Pt K Pb
1 2 1 1
direct
0.5000 0.5000 0.5000
0.5000 0.0000 0.0000
0.0000 0.0000 0.5000
0.0000 0.5000 0.0000
0.0000 0.0000 0.0000
```

- energy of formation (meV per atom) = 688.3
- ΔE to the lowest computed polymorph (meV/atom) = 989
- total energy (eV per cell) = -17.4

Computed, not measured: a relaxed structure of K2TlPtPb2 at the PBE-GGA level of DFT.

```
K2TlPtPb2
1.0
-5.7547 -4.4974 -0.5485
4.0224 -4.7169 -3.5253
2.8854 1.1836 8.9216
Pb Tl K Pt
4 2 4 2
direct
0.7899 0.1005 0.2010
0.4111 0.6005 0.2010
0.2101 0.8995 0.7990
0.5889 0.3995 0.7990
0.0000 0.7500 0.0000
0.0000 0.2500 0.0000
0.6100 0.8349 0.6699
0.0599 0.3349 0.6699
0.3900 0.1651 0.3301
0.9401 0.6651 0.3301
0.5000 0.2500 0.0000
0.5000 0.7500 0.0000
```

- energy of formation (meV per atom) = -167.2
- total energy (eV per cell) = -38.0

Computed, not measured: a relaxed structure of K2TlPt4Pb3 at the PBE-GGA level of DFT.

```
K2TlPt4Pb3
1.0
-0.9287 -0.6148 -4.8111
2.3281 -4.3538 0.1069
-9.3192 -4.9235 2.4281
Pb Pt K Tl
3 4 2 1
direct
0.0000 0.5000 0.1189
0.5000 0.0000 0.8811
0.0000 0.0000 0.5000
0.0000 0.0000 0.0000
0.0000 0.5000 0.3738
0.5000 0.5000 0.0000
0.5000 0.0000 0.6262
0.5000 0.0000 0.2391
0.0000 0.5000 0.7609
0.5000 0.5000 0.5000
```

- energy of formation (meV per atom) = -219.5
- total energy (eV per cell) = -42.0

What did we get for total magnetization? Answer: 0.000, 0.000, 0.000, 0.000, 0.000, 0.000, 0.000, 0.000, 0.000, 0.000, 0.000, 0.000 μB/atom, in the order shown.